The following is a GGA-PBE calculation of a relaxed structure of ZrTaTe2N, from the Alexandria database.

The structure in CIF format:
```
data_ZrTaTe2N
_cell_length_a 5.674
_cell_length_b 5.674
_cell_length_c 3.930
_cell_angle_alpha 90.00
_cell_angle_beta 90.00
_cell_angle_gamma 90.00
_space_group_name_H-M_alt 'P 4/m m m'
_space_group_IT_number 123
_space_group_name_Hall '-P 4 2'
loop_
_atom_site_label
_atom_site_fract_x
_atom_site_fract_y
_atom_site_fract_z
Zr1 0.000 0.000 0.000
Ta1 0.500 0.500 0.500
Te1 0.000 0.500 0.000
N1 0.000 0.000 0.500
```

Formation energy from raw total energies (kcal/mol of atoms): 14.15
E above lowest polymorph (eV/atom): 0.571
N(E_F) (states/eV per cell): 6.94